(1)
Density functional theory data (GGA-PBE) for a geometry-optimized LiBeC2I structure.

Summary:
Crystal system: tetragonal
ΔE_f (raw): 7.0 eV/f.u.
Final energy: -3.7311 eV per atom
Symmetry: P4/mmm, No. 123

```
data_LiBeC2I
_cell_length_a 3.5662
_cell_length_b 8.5826
_cell_length_c 3.5662
_cell_angle_alpha 90.00
_cell_angle_beta 90.00
_cell_angle_gamma 90.00
_space_group_name_H-M_alt 'P 1'
_space_group_IT_number 1
loop_
_space_group_symop_operation_xyz
'x,y,z'
loop_
_atom_site_label
_atom_site_type_symbol
_atom_site_fract_x
_atom_site_fract_y
_atom_site_fract_z
_atom_site_occupancy
C1 C 0.0000 0.0000 0.5000 1
C2 C 0.5000 0.0000 0.0000 1
Li1 Li 0.0000 0.5000 0.0000 1
Be1 Be 0.0000 0.0000 0.0000 1
I1 I 0.5000 0.5000 0.5000 1
```

(2)
Density functional theory data (GGA-PBE) for a geometry-optimized BeCI2N structure.

Summary:
Crystal system: tetragonal
ΔE_f (raw): 8.5 eV/f.u.
Final energy: -3.1796 eV per atom
Symmetry: P4/mmm, No. 123

```
data_BeCI2N
_cell_length_a 5.4872
_cell_length_b 5.4872
_cell_length_c 3.1494
_cell_angle_alpha 90.00
_cell_angle_beta 90.00
_cell_angle_gamma 90.00
_space_group_name_H-M_alt 'P 1'
_space_group_IT_number 1
loop_
_space_group_symop_operation_xyz
'x,y,z'
loop_
_atom_site_label
_atom_site_type_symbol
_atom_site_fract_x
_atom_site_fract_y
_atom_site_fract_z
_atom_site_occupancy
Be1 Be 0.0000 0.0000 0.0000 1
I1 I 0.5000 0.0000 0.0000 1
I2 I 0.0000 0.5000 0.0000 1
C1 C 0.5000 0.5000 0.5000 1
N1 N 0.0000 0.0000 0.5000 1
```

(3)
Density functional theory data (GGA-PBE) for a geometry-optimized BeCI2N structure.

Summary:
Crystal system: tetragonal
ΔE_f (raw): 5.9 eV/f.u.
Final energy: -3.6974 eV per atom
Symmetry: P4/mmm, No. 123

```
data_BeCI2N
_cell_length_a 7.5588
_cell_length_b 7.5588
_cell_length_c 2.6241
_cell_angle_alpha 90.00
_cell_angle_beta 90.00
_cell_angle_gamma 90.00
_space_group_name_H-M_alt 'P 1'
_space_group_IT_number 1
loop_
_space_group_symop_operation_xyz
'x,y,z'
loop_
_atom_site_label
_atom_site_type_symbol
_atom_site_fract_x
_atom_site_fract_y
_atom_site_fract_z
_atom_site_occupancy
Be1 Be 0.5000 0.5000 0.5000 1
N1 N 0.0000 0.0000 0.5000 1
C1 C 0.0000 0.0000 0.0000 1
I1 I 0.5000 0.0000 0.0000 1
I2 I 0.0000 0.5000 0.0000 1
```

(4)
Density functional theory data (GGA-PBE) for a geometry-optimized NaBe2CI structure.

Summary:
Crystal system: tetragonal
ΔE_f (raw): 11.8 eV/f.u.
Final energy: -1.5479 eV per atom
Symmetry: P4/mmm, No. 123

```
data_NaBe2CI
_cell_length_a 4.9775
_cell_length_b 4.3228
_cell_length_c 4.9775
_cell_angle_alpha 90.00
_cell_angle_beta 90.00
_cell_angle_gamma 90.00
_space_group_name_H-M_alt 'P 1'
_space_group_IT_number 1
loop_
_space_group_symop_operation_xyz
'x,y,z'
loop_
_atom_site_label
_atom_site_type_symbol
_atom_site_fract_x
_atom_site_fract_y
_atom_site_fract_z
_atom_site_occupancy
I1 I 0.5000 0.5000 0.5000 1
C1 C 0.0000 0.5000 0.0000 1
Be1 Be 0.0000 0.0000 0.5000 1
Be2 Be 0.5000 0.0000 0.0000 1
Na1 Na 0.0000 0.0000 0.0000 1
```

(5)
Density functional theory data (GGA-PBE) for a geometry-optimized BeOs2CI structure.

Summary:
Crystal system: tetragonal
ΔE_f (raw): 7.0 eV/f.u.
Final energy: -5.9840 eV per atom
Symmetry: P4/mmm, No. 123

```
data_BeOs2CI
_cell_length_a 3.8582
_cell_length_b 7.2746
_cell_length_c 3.8582
_cell_angle_alpha 90.00
_cell_angle_beta 90.00
_cell_angle_gamma 90.00
_space_group_name_H-M_alt 'P 1'
_space_group_IT_number 1
loop_
_space_group_symop_operation_xyz
'x,y,z'
loop_
_atom_site_label
_atom_site_type_symbol
_atom_site_fract_x
_atom_site_fract_y
_atom_site_fract_z
_atom_site_occupancy
Be1 Be 0.5000 0.5000 0.5000 1
Os1 Os 0.5000 0.0000 0.0000 1
Os2 Os 0.0000 0.0000 0.5000 1
I1 I 0.0000 0.5000 0.0000 1
C1 C 0.0000 0.0000 0.0000 1
```

(6)
Density functional theory data (GGA-PBE) for a geometry-optimized Rb2BeCI6 structure.

Summary:
Crystal system: tetragonal
ΔE_f (raw): -0.9 eV/f.u.
Final energy: -2.5113 eV per atom
Symmetry: I4/mmm, No. 139

```
data_Rb2BeCI6
_cell_length_a 7.7611
_cell_length_b 7.7611
_cell_length_c 7.7666
_cell_angle_alpha 60.02
_cell_angle_beta 60.02
_cell_angle_gamma 90.00
_space_group_name_H-M_alt 'P 1'
_space_group_IT_number 1
loop_
_space_group_symop_operation_xyz
'x,y,z'
loop_
_atom_site_label
_atom_site_type_symbol
_atom_site_fract_x
_atom_site_fract_y
_atom_site_fract_z
_atom_site_occupancy
C1 C 0.0000 0.0000 0.0000 1
I1 I 0.2486 0.7514 0.0000 1
I2 I 0.2479 0.2479 0.5041 1
I3 I 0.7514 0.2486 0.0000 1
I4 I 0.2486 0.2486 0.0000 1
I5 I 0.7514 0.7514 0.0000 1
I6 I 0.7521 0.7521 0.4959 1
Rb1 Rb 0.2500 0.7500 0.5000 1
Rb2 Rb 0.7500 0.2500 0.5000 1
Be1 Be 0.5000 0.5000 0.0000 1
```